1.
NbSiPO2 | GGA-PBE | relaxed

The structure in POSCAR format:
```
NbSiPO2
1.0
-0.106 -0.926 -3.793
-1.444 -3.516 0.899
-4.887 1.921 -0.333
P Nb Si O
1 1 1 2
direct
0.000 0.000 0.500
0.000 0.000 0.000
0.500 0.500 0.500
0.000 0.500 0.000
0.500 0.000 0.000
```

Values from the calculation:
- Space group: P4/mmm
- DOS at the Fermi energy: 0.129 states/eV/atom
- E_form (uncorrected): -990 meV/atom
- Offset from the most stable computed form: 0.000 eV per atom

---

2.
RbYAl3 | GGA-PBE | relaxed

The structure in POSCAR format:
```
RbYAl3
1.0
-3.416 3.804 1.681
-1.394 -3.097 4.175
3.918 2.214 2.951
Y Al Rb
1 3 1
direct
0.500 0.500 0.500
0.000 0.500 0.000
0.000 0.000 0.500
0.500 0.000 0.000
0.000 0.000 0.000
```

Values from the calculation:
- Formation energy from the elements: 1.39 eV per atom
- Space group: Pm-3m
- DOS at the Fermi energy: 0.906 states/eV/atom
- Offset from the most stable computed form: 0.681 eV per atom

---

3.
RbYSi | GGA-PBE | relaxed

The structure in POSCAR format:
```
RbYSi
1.0
5.685 -0.002 -0.021
-1.704 5.424 0.021
4.180 -3.070 6.650
Y Si Rb
2 2 2
direct
0.153 0.821 0.842
0.667 0.306 0.688
0.723 0.877 0.765
0.097 0.250 0.765
0.225 0.749 0.257
0.596 0.378 0.273
```

Values from the calculation:
- Space group: C2/m
- DOS at the Fermi energy: 0.670 states/eV/atom
- E_form (uncorrected): -77 meV/atom
- Offset from the most stable computed form: 0.214 eV per atom

---

4.
BaMgRe | GGA-PBE | relaxed

The structure in POSCAR format:
```
BaMgRe
1.0
8.059 -0.029 0.031
7.485 2.988 0.038
0.574 0.102 3.015
Ba Mg Re
1 1 1
direct
0.014 0.014 0.986
0.303 0.303 0.697
0.683 0.683 0.317
```

Values from the calculation:
- Formation energy from the elements: 0.94 eV per atom
- Space group: I4mm
- DOS at the Fermi energy: 1.022 states/eV/atom
- Offset from the most stable computed form: 0.056 eV per atom

---

5.
Pm11In9Hg4 | GGA-PBE | relaxed

The structure in POSCAR format:
```
Pm11In9Hg4
1.0
3.839 0.000 0.000
0.000 12.692 -5.398
0.000 0.024 13.792
Pm In Hg
11 9 4
direct
0.000 0.590 0.941
0.000 0.410 0.059
0.000 0.941 0.590
0.000 0.059 0.410
0.000 0.639 0.361
0.000 0.361 0.639
0.000 0.838 0.162
0.000 0.162 0.838
0.000 0.000 0.000
0.000 0.713 0.713
0.000 0.287 0.287
0.500 0.633 0.155
0.500 0.367 0.845
0.500 0.155 0.633
0.500 0.845 0.367
0.500 0.788 0.939
0.500 0.212 0.061
0.500 0.939 0.788
0.500 0.061 0.212
0.500 0.500 0.500
0.500 0.552 0.750
0.500 0.448 0.250
0.500 0.750 0.552
0.500 0.250 0.448
```

Values from the calculation:
- Formation energy from the elements: -0.47 eV per atom
- Space group: Cmmm
- DOS at the Fermi energy: 0.686 states/eV/atom

---

6.
SbTe | GGA-PBE | relaxed

The structure in POSCAR format:
```
SbTe
1.0
4.477 0.000 0.000
0.000 4.477 0.000
0.000 0.000 6.360
Sb Te
2 2
direct
0.500 0.500 0.238
0.500 0.500 0.762
0.000 0.000 0.752
0.000 0.000 0.248
```

Values from the calculation:
- Space group: P4/mmm
- DOS at the Fermi energy: 0.499 states/eV/atom
- E_form (uncorrected): -7 meV/atom
- Offset from the most stable computed form: 0.098 eV per atom

---

7.
TcHgPtS2 | GGA-PBE | relaxed

The structure in POSCAR format:
```
TcHgPtS2
1.0
-4.720 -1.221 -0.115
0.694 -2.255 -4.535
1.033 -4.202 2.248
S Hg Pt Tc
2 1 1 1
direct
0.000 0.000 0.500
0.500 0.000 0.000
0.000 0.000 0.000
0.000 0.500 0.000
0.500 0.500 0.500
```

Values from the calculation:
- Space group: P4/mmm
- DOS at the Fermi energy: 0.611 states/eV/atom
- E_form (uncorrected): 1527 meV/atom

---

8.
LiScAu3 | GGA-PBE | relaxed

The structure in POSCAR format:
```
LiScAu3
1.0
4.524 0.000 0.000
0.000 4.524 0.000
0.000 0.000 4.524
Sc Au Li
1 3 1
direct
0.500 0.500 0.500
0.000 0.500 0.000
0.000 0.000 0.500
0.500 0.000 0.000
0.000 0.000 0.000
```

Values from the calculation:
- Formation energy from the elements: -0.20 eV per atom
- Space group: Pm-3m
- DOS at the Fermi energy: 0.599 states/eV/atom
- Offset from the most stable computed form: 0.320 eV per atom